Below is crystalline Zr3Tl4NiSe8 at its relaxed geometry, with properties calculated at the PBE level.

Cell and atoms, written as POSCAR:
```
Zr3Tl4NiSe8
1.0
3.847 2.221 8.066
-3.847 2.221 8.066
0.000 -4.442 8.066
Zr Tl Ni Se
3 4 1 8
Direct
0.000 0.500 0.500
0.500 0.000 0.500
0.500 0.500 0.000
0.000 0.000 0.500
0.000 0.500 0.000
0.500 0.000 0.000
0.500 0.500 0.500
0.000 0.000 0.000
0.222 0.222 0.743
0.222 0.743 0.222
0.257 0.778 0.778
0.267 0.267 0.267
0.733 0.733 0.733
0.743 0.222 0.222
0.778 0.257 0.778
0.778 0.778 0.257
```

Computed properties:
For the total energy, the calculation gives -5.11 eV/atom. Its total magnetization is 0.068 μB per atom. The density comes out at 7.2 g cm⁻³. The space-group type is R-3m (166). The value obtained for the formation energy (no corrections) is -0.8112 eV per atom. For the density of states at the Fermi level, the calculation gives 10.088 states/eV/cell.